1.
Below is a relaxed Sn4Bi crystal, with properties calculated at the PBE-GGA level.

The calculation puts the density at 7.60 g/cm3. As for the density of states at the Fermi level: 6.602 states/eV per cell. For the volume, the calculation gives 298.7 Å³ per cell. Its crystal system is monoclinic. The calculation puts the total magnetization at 0.0000 μB/atom. The value obtained for the energy above the most stable polymorph in this dataset is 0.000 eV per atom.

The structure belongs to space group P2_1/c (No. 14); the cell edges are 6.5800, 7.1334 and 7.1400 Å and the angles 90.00°, 116.98° and 90.00°. The inequivalent atoms are Sn at (0.1302, 0.2062, 0.0596), Sn at (0.2826, 0.5969, 0.3196) and Bi at (0.5000, 0.0000, 0.5000).

2.
Below is a relaxed Sn4Bi crystal, with properties calculated at the PBE-GGA level.

The calculation puts the density at 5.68 g/cm3. As for the density of states at the Fermi level: 3.239 states/eV per cell. For the volume, the calculation gives 199.8 Å³ per cell. Its crystal system is cubic. The calculation puts the total magnetization at 0.0000 μB/atom. The value obtained for the energy above the most stable polymorph in this dataset is 0.659 eV per atom.

The structure belongs to space group Pm-3m (No. 221); the cell edges are 5.8462, 5.8462 and 5.8462 Å and the angles 90.00°, 90.00° and 90.00°. The inequivalent atoms are Sn at (0.0000, 0.0000, 0.0000), Sn at (0.0000, 0.5000, 0.5000) and Bi at (0.5000, 0.5000, 0.5000).

3.
Below is a relaxed SnBi6 crystal, with properties calculated at the PBE-GGA level.

The calculation puts the density at 6.75 g/cm3. The total energy is -3.3886 eV per atom. As for the density of states at the Fermi level: 7.965 states/eV per cell. For the volume, the calculation gives 675.6 Å³ per cell. Its crystal system is cubic. The calculation puts the total magnetization at 0.2244 μB/atom.

The structure belongs to space group Im-3m (No. 229); the cell edges are 8.7745, 8.7745 and 8.7745 Å and the angles 90.00°, 90.00° and 90.00°. The inequivalent atoms are Sn at (0.0000, 0.0000, 0.0000) and Bi at (0.0000, 0.2500, 0.5000).

Q: Among the records above, which one has the lowest density?
A: number 2